VASP calculation (PBE) on BaHg5Au after structural relaxation.

a b c (Å): 5.157 5.157 7.774
angles (deg): 90.00 90.00 90.00
Positions (direct):
Ba: 0.000 0.000 0.000
Hg: 0.000 0.500 0.302
Hg: 0.000 0.500 0.698
Hg: 0.500 0.000 0.302
Hg: 0.500 0.000 0.698
Hg: 0.500 0.500 0.000
Au: 0.000 0.000 0.500

Final energy = -1.233 eV/atom
Total magnetization = 0.00 μB per atom
Formation energy = -0.2750 eV per atom